Record 1
Computed, not measured: an optimized crystal structure of Ac2La2Pt2Rh at the PBE level of DFT.

DFT formation energy	-0.867	eV per atom
DOS(E_F)	0.68	states/eV/atom
spin magnetization	0.0	Bohr magnetons per cell
volume	30.86	Å³ per atom

Cell and atoms, written as extended XYZ:
```
7
Lattice="-1.5159 -0.9459 -3.7353 -5.4584 -5.9469 1.4260 -7.3416 1.8730 0.2101" Properties=species:S:1:pos:R:3 pbc="T T T"
Ac -7.1256 -4.3918 -0.5862
Rh 0.0000 0.0000 0.0000
Ac -7.1902 -0.6280 -1.5130
Pt -4.8751 -2.2048 0.2417
Pt -9.4407 -2.8150 -2.3409
La -3.7700 -2.1326 -2.5200
La -10.5459 -2.8872 0.4208
```

Record 2
Computed, not measured: an optimized crystal structure of Ac2La2PtRh2 at the PBE level of DFT.

DFT formation energy	-0.744	eV per atom
DOS(E_F)	0.63	states/eV/atom
spin magnetization	0.0	Bohr magnetons per cell
volume	30.89	Å³ per atom

Cell and atoms, written as extended XYZ:
```
7
Lattice="4.0908 0.0000 0.0000 2.0454 7.9718 -0.0690 2.0454 2.9857 6.6051" Properties=species:S:1:pos:R:3 pbc="T T T"
Ac 4.0908 4.0513 4.5730
Ac 4.0908 6.9061 1.9631
Rh 2.0454 4.5533 1.9527
Rh 6.1362 6.4041 4.5834
La 4.0908 8.1650 5.5547
La 4.0908 2.7924 0.9814
Pt 0.0000 0.0000 0.0000
```